(1)
Below is a relaxed TiMnCuPd crystal, with properties calculated at the PBE-GGA level.

Summary:
DFT total energy = -0.2481 hartree per atom
SG = No. 216
magnetic moment = 2.6 μB/f.u.
Fermi-level density of states = 1.24 states/eV/atom

abc: 4.3056 4.3056 4.3056
angles: 60.00 60.00 60.00
Fractional coordinates of all 4 atoms:
Mn: 0.0000 0.0000 0.0000
Cu: 0.7500 0.7500 0.7500
Pd: 0.5000 0.5000 0.5000
Ti: 0.2500 0.2500 0.2500

(2)
Below is a relaxed Pm3HoTm2Bi6 crystal, with properties calculated at the PBE-GGA level.

Summary:
DFT total energy = -0.1883 hartree per atom
SG = No. 12
magnetic moment = 0.0 μB/f.u.
Fermi-level density of states = 0.17 states/eV/atom

abc: 4.5128 9.0170 10.0804
angles: 102.78 102.93 90.00
Fractional coordinates of all 12 atoms:
Pm: 0.5000 0.5000 0.0000
Pm: 0.8337 0.1668 0.6673
Pm: 0.1663 0.8332 0.3327
Ho: 0.5000 0.0000 0.0000
Tm: 0.8332 0.6666 0.6665
Tm: 0.1668 0.3334 0.3335
Bi: 0.3350 0.9107 0.6700
Bi: 0.6689 0.5776 0.3378
Bi: 0.6650 0.0893 0.3300
Bi: 0.0024 0.2458 0.0049
Bi: 0.9976 0.7542 0.9951
Bi: 0.3311 0.4224 0.6622

(3)
Below is a relaxed SmTmNiHg crystal, with properties calculated at the PBE-GGA level.

Summary:
DFT total energy = -0.1527 hartree per atom
SG = No. 216
magnetic moment = 0.0 μB/f.u.
Fermi-level density of states = 0.76 states/eV/atom

abc: 5.0694 5.0694 5.0694
angles: 60.00 60.00 60.00
Fractional coordinates of all 4 atoms:
Ni: 0.0000 0.0000 0.0000
Tm: 0.7500 0.7500 0.7500
Hg: 0.5000 0.5000 0.5000
Sm: 0.2500 0.2500 0.2500

(4)
Below is a relaxed RbAsAu crystal, with properties calculated at the PBE-GGA level.

Summary:
DFT total energy = -0.1249 hartree per atom
SG = No. 12
magnetic moment = 0.0 μB/f.u.
polymorph energy (0 for the lowest one) = 0 meV/atom

abc: 6.5208 6.5208 6.1513
angles: 94.23 119.36 117.90
Fractional coordinates of all 6 atoms:
Rb: 0.2602 0.6342 0.8944
Rb: 0.7398 0.3658 0.1056
Au: 0.0000 0.0000 0.5000
Au: 0.5000 0.5000 0.5000
As: 0.1999 0.0341 0.2340
As: 0.8001 0.9659 0.7660

(5)
Below is a relaxed Er2Ga4Fe3 crystal, with properties calculated at the PBE-GGA level.

Summary:
DFT total energy = -0.2042 hartree per atom
SG = No. 69
magnetic moment = 4.6 μB/f.u.
Fermi-level density of states = 0.67 states/eV/atom

abc: 5.1649 5.2130 6.8880
angles: 79.30 67.98 60.31
Fractional coordinates of all 9 atoms:
Er: 0.6255 0.0000 0.7490
Er: 0.3745 0.0000 0.2510
Ga: 0.0097 0.6580 0.3227
Ga: 0.6676 0.3420 0.3227
Ga: 0.9903 0.3420 0.6773
Ga: 0.3324 0.6580 0.6773
Fe: 0.0000 0.5000 0.0000
Fe: 0.0000 0.0000 0.0000
Fe: 0.5000 0.5000 0.0000

(6)
Below is a relaxed Y3US6 crystal, with properties calculated at the PBE-GGA level.

Summary:
DFT total energy = -0.2695 hartree per atom
SG = No. 36
magnetic moment = 3.0 μB/f.u.
polymorph energy (0 for the lowest one) = 110 meV/atom
Fermi-level density of states = 0.49 states/eV/atom

abc: 6.8453 8.5240 8.5240
angles: 102.50 90.00 90.00
Fractional coordinates of all 20 atoms:
Y: 0.4789 0.9135 0.7021
Y: 0.9789 0.7021 0.9135
Y: 0.3853 0.4038 0.5962
Y: 0.8853 0.5962 0.4038
Y: 0.9789 0.0865 0.2979
Y: 0.4789 0.2979 0.0865
U: 0.9963 0.1654 0.8346
U: 0.4963 0.8346 0.1654
S: 0.1756 0.6946 0.6338
S: 0.6756 0.6338 0.6946
S: 0.2048 0.4352 0.9012
S: 0.7048 0.9012 0.4352
S: 0.2615 0.0108 0.9892
S: 0.6236 0.2271 0.7729
S: 0.1236 0.7729 0.2271
S: 0.7615 0.9892 0.0108
S: 0.2048 0.0988 0.5648
S: 0.7048 0.5648 0.0988
S: 0.1756 0.3662 0.3054
S: 0.6756 0.3054 0.3662

(7)
Below is a relaxed MgBiSb2Te crystal, with properties calculated at the PBE-GGA level.

Summary:
DFT total energy = -0.0969 hartree per atom
SG = No. 123
magnetic moment = 0.0 μB/f.u.
polymorph energy (0 for the lowest one) = 324 meV/atom
Fermi-level density of states = 1.32 states/eV/atom

abc: 5.7388 5.8647 5.7388
angles: 90.00 90.00 90.00
Fractional coordinates of all 5 atoms:
Sb: 0.0000 0.0000 0.5000
Sb: 0.5000 0.0000 0.0000
Mg: 0.5000 0.5000 0.5000
Te: 0.0000 0.0000 0.0000
Bi: 0.0000 0.5000 0.0000

(8)
Below is a relaxed AcPmSn6 crystal, with properties calculated at the PBE-GGA level.

Summary:
DFT total energy = -0.1693 hartree per atom
SG = No. 123
magnetic moment = 0.0 μB/f.u.
Fermi-level density of states = 0.65 states/eV/atom

abc: 4.8742 4.8742 9.5439
angles: 90.00 90.00 90.00
Fractional coordinates of all 8 atoms:
Ac: 0.0000 0.0000 0.0000
Pm: 0.0000 0.0000 0.5000
Sn: 0.5000 0.5000 0.0000
Sn: 0.5000 0.5000 0.5000
Sn: 0.5000 0.0000 0.2583
Sn: 0.5000 0.0000 0.7417
Sn: 0.0000 0.5000 0.2583
Sn: 0.0000 0.5000 0.7417

(9)
Below is a relaxed SrIn2TePd crystal, with properties calculated at the PBE-GGA level.

Summary:
DFT total energy = -0.1365 hartree per atom
SG = No. 123
magnetic moment = 0.0 μB/f.u.
Fermi-level density of states = 0.22 states/eV/atom

abc: 5.1700 5.1700 5.8667
angles: 90.00 90.00 90.00
Fractional coordinates of all 5 atoms:
Sr: 0.0000 0.0000 0.5000
Te: 0.5000 0.5000 0.5000
Pd: 0.0000 0.0000 0.0000
In: 0.0000 0.5000 0.0000
In: 0.5000 0.0000 0.0000

(10)
Below is a relaxed K3LaI crystal, with properties calculated at the PBE-GGA level.

Summary:
DFT total energy = -0.0629 hartree per atom
SG = No. 221
magnetic moment = 0.0 μB/f.u.
polymorph energy (0 for the lowest one) = 0 meV/atom
Fermi-level density of states = 1.14 states/eV/atom

abc: 6.0200 6.0200 6.0200
angles: 90.00 90.00 90.00
Fractional coordinates of all 5 atoms:
I: 0.0000 0.0000 0.0000
K: 0.0000 0.5000 0.0000
K: 0.0000 0.0000 0.5000
K: 0.5000 0.0000 0.0000
La: 0.5000 0.5000 0.5000

(11)
Below is a relaxed LiCeAl2Au4 crystal, with properties calculated at the PBE-GGA level.

Summary:
DFT total energy = -0.1526 hartree per atom
SG = No. 166
magnetic moment = 0.9 μB/f.u.
Fermi-level density of states = 1.03 states/eV/atom

abc: 4.4683 4.4683 9.0519
angles: 75.71 75.71 60.00
Fractional coordinates of all 8 atoms:
Li: 0.5000 0.5000 0.5000
Ce: 0.0000 0.0000 0.0000
Al: 0.7616 0.7616 0.7151
Al: 0.2384 0.2384 0.2849
Au: 0.3985 0.3985 0.8045
Au: 0.8670 0.8670 0.3990
Au: 0.1330 0.1330 0.6010
Au: 0.6015 0.6015 0.1955

(12)
Below is a relaxed BeCdC3 crystal, with properties calculated at the PBE-GGA level.

Summary:
DFT total energy = -0.1519 hartree per atom
SG = No. 221
magnetic moment = 0.0 μB/f.u.
polymorph energy (0 for the lowest one) = 0 meV/atom
Fermi-level density of states = 0.45 states/eV/atom

abc: 3.7400 3.7400 3.7400
angles: 90.00 90.00 90.00
Fractional coordinates of all 5 atoms:
Be: 0.0000 0.0000 0.0000
C: 0.0000 0.5000 0.0000
C: 0.0000 0.0000 0.5000
C: 0.5000 0.0000 0.0000
Cd: 0.5000 0.5000 0.5000

(13)
Below is a relaxed Ta2BePdF crystal, with properties calculated at the PBE-GGA level.

Summary:
DFT total energy = -0.2487 hartree per atom
SG = No. 123
magnetic moment = 0.0 μB/f.u.
Fermi-level density of states = 0.73 states/eV/atom

abc: 4.2957 3.8590 4.2957
angles: 90.00 90.00 90.00
Fractional coordinates of all 5 atoms:
Be: 0.0000 0.5000 0.0000
F: 0.0000 0.0000 0.0000
Pd: 0.5000 0.5000 0.5000
Ta: 0.0000 0.0000 0.5000
Ta: 0.5000 0.0000 0.0000

(14)
Below is a relaxed H2OsN crystal, with properties calculated at the PBE-GGA level.

Summary:
DFT total energy = -0.2365 hartree per atom
SG = No. 160
magnetic moment = 0.0 μB/f.u.
polymorph energy (0 for the lowest one) = 1 meV/atom
Fermi-level density of states = 0.18 states/eV/atom

abc: 2.8223 2.8223 15.6134
angles: 90.00 90.00 120.00
Fractional coordinates of all 12 atoms:
H: 0.0000 0.0000 0.7453
H: 0.3333 0.6667 0.4119
H: 0.6667 0.3333 0.0786
H: 0.0000 0.0000 0.1651
H: 0.3333 0.6667 0.8317
H: 0.6667 0.3333 0.4984
Os: 0.0000 0.0000 0.2705
Os: 0.3333 0.6667 0.9372
Os: 0.6667 0.3333 0.6039
N: 0.0000 0.0000 0.6792
N: 0.3333 0.6667 0.3459
N: 0.6667 0.3333 0.0126

(15)
Below is a relaxed RbPtW3 crystal, with properties calculated at the PBE-GGA level.

Summary:
DFT total energy = -0.1978 hartree per atom
SG = No. 221
magnetic moment = 0.0 μB/f.u.
polymorph energy (0 for the lowest one) = 1458 meV/atom
Fermi-level density of states = 0.54 states/eV/atom

abc: 4.6062 4.6062 4.6062
angles: 90.00 90.00 90.00
Fractional coordinates of all 5 atoms:
Rb: 0.0000 0.0000 0.0000
W: 0.0000 0.5000 0.0000
W: 0.0000 0.0000 0.5000
W: 0.5000 0.0000 0.0000
Pt: 0.5000 0.5000 0.5000